## K2NpBr3F3 (PBE-GGA)

Data for a geometry-optimized K2NpBr3F3 structure.

Properties
Calculated density = 4.6 g/cm3
VASP energy = -46.36 eV for the cell shown
Total magnetic moment = 3.0 μB per formula unit
ΔE_f (raw) = -20.596 eV per formula unit

Cell: 3.7522 8.2833 8.2833 Å, 120.00 90.00 90.00°
Atoms (fractional coordinates):
K  0.5000  0.3333  0.6667
Br  0.0000  0.6384  0.6384
Br  0.0000  0.3616  0.0000
F  0.5000  0.0000  0.8242
F  0.5000  0.8242  0.0000
F  0.5000  0.1758  0.1758
K  0.5000  0.6667  0.3333
Br  0.0000  0.0000  0.3616
Np  0.0000  0.0000  0.0000